Record 1
# LaNb7O19 meta-GGA SCAN single point on PBEsol structure
data_LaNb7O19
_chemical_formula_sum 'La2 Nb14 O38'
_space_group_name_H-M_alt 'P 1'
_space_group_IT_number 1
_cell_length_a 6.267
_cell_length_b 6.267
_cell_length_c 20.228
_cell_angle_alpha 90.00
_cell_angle_beta 90.00
_cell_angle_gamma 120.00
loop_
_space_group_symop_operation_xyz
'x,y,z'
loop_
_atom_site_label
_atom_site_type_symbol
_atom_site_fract_x
_atom_site_fract_y
_atom_site_fract_z
La1 La 0.333 0.667 0.154
La2 La 0.667 0.333 0.846
Nb1 Nb 0.000 0.363 0.500
Nb2 Nb 0.000 0.641 0.000
Nb3 Nb 0.002 0.364 0.312
Nb4 Nb 0.333 0.667 0.841
Nb5 Nb 0.359 0.359 0.000
Nb6 Nb 0.362 0.998 0.312
Nb7 Nb 0.363 0.000 0.500
Nb8 Nb 0.364 0.002 0.688
Nb9 Nb 0.636 0.638 0.312
Nb10 Nb 0.637 0.637 0.500
Nb11 Nb 0.638 0.636 0.688
Nb12 Nb 0.641 0.000 0.000
Nb13 Nb 0.667 0.333 0.159
Nb14 Nb 0.998 0.362 0.688
O1 O 0.000 0.246 0.000
O2 O 0.000 0.751 0.307
O3 O 0.000 0.751 0.693
O4 O 0.000 0.754 0.500
O5 O 0.042 0.419 0.403
O6 O 0.050 0.429 0.791
O7 O 0.055 0.617 0.905
O8 O 0.246 0.000 0.000
O9 O 0.246 0.246 0.500
O10 O 0.249 0.249 0.307
O11 O 0.249 0.249 0.693
O12 O 0.333 0.667 0.024
O13 O 0.333 0.667 0.283
O14 O 0.333 0.667 0.514
O15 O 0.333 0.667 0.681
O16 O 0.378 0.950 0.791
O17 O 0.378 0.958 0.403
O18 O 0.383 0.439 0.905
O19 O 0.419 0.042 0.597
O20 O 0.429 0.050 0.209
O21 O 0.439 0.383 0.095
O22 O 0.561 0.945 0.905
O23 O 0.571 0.622 0.791
O24 O 0.581 0.622 0.403
O25 O 0.617 0.055 0.095
O26 O 0.622 0.571 0.209
O27 O 0.622 0.581 0.597
O28 O 0.667 0.333 0.319
O29 O 0.667 0.333 0.486
O30 O 0.667 0.333 0.717
O31 O 0.667 0.333 0.976
O32 O 0.751 0.000 0.307
O33 O 0.751 0.000 0.693
O34 O 0.754 0.000 0.500
O35 O 0.754 0.754 0.000
O36 O 0.945 0.561 0.095
O37 O 0.950 0.378 0.209
O38 O 0.958 0.378 0.597
# - size of the total moment (μB per formula unit) = 0.00
# - total energy (eV/atom) = -17.446
# - formation energy (no corrections) (eV per atom) = -2.88
# - N(E_F) (states/eV per cell) = 0.000


Record 2
# CdRhSeBr2 meta-GGA SCAN single point on PBEsol structure
data_CdRhSeBr2
_chemical_formula_sum 'Cd1 Rh1 Se1 Br2'
_space_group_name_H-M_alt 'P 1'
_space_group_IT_number 1
_cell_length_a 5.048
_cell_length_b 5.048
_cell_length_c 4.727
_cell_angle_alpha 90.00
_cell_angle_beta 90.00
_cell_angle_gamma 90.00
loop_
_space_group_symop_operation_xyz
'x,y,z'
loop_
_atom_site_label
_atom_site_type_symbol
_atom_site_fract_x
_atom_site_fract_y
_atom_site_fract_z
Cd1 Cd 0.000 0.000 0.000
Rh1 Rh 0.500 0.500 0.500
Se1 Se 0.500 0.500 0.000
Br1 Br 0.000 0.500 0.500
Br2 Br 0.500 0.000 0.500
# - size of the total moment (μB per formula unit) = 0.00
# - total energy (eV/atom) = -24.663
# - formation energy (no corrections) (eV per atom) = -0.03
# - N(E_F) (states/eV per cell) = 2.899


Record 3
# MgAg2Os meta-GGA SCAN single point on PBEsol structure
data_MgAg2Os
_chemical_formula_sum 'Mg1 Ag2 Os1'
_space_group_name_H-M_alt 'P 1'
_space_group_IT_number 1
_cell_length_a 2.689
_cell_length_b 4.195
_cell_length_c 5.658
_cell_angle_alpha 90.00
_cell_angle_beta 90.00
_cell_angle_gamma 90.00
loop_
_space_group_symop_operation_xyz
'x,y,z'
loop_
_atom_site_label
_atom_site_type_symbol
_atom_site_fract_x
_atom_site_fract_y
_atom_site_fract_z
Mg1 Mg 0.000 0.000 0.000
Ag1 Ag 0.000 0.000 0.484
Ag2 Ag 0.500 0.500 0.733
Os1 Os 0.500 0.500 0.231
# - size of the total moment (μB per formula unit) = 0.00
# - total energy (eV/atom) = -34.563
# - N(E_F) (states/eV per cell) = 2.440
# - ΔE_f (eV/atom) = 0.33


Record 4
# LiAg2As meta-GGA SCAN single point on PBEsol structure
data_LiAg2As
_chemical_formula_sum 'Li1 Ag2 As1'
_space_group_name_H-M_alt 'P 1'
_space_group_IT_number 1
_cell_length_a 2.841
_cell_length_b 4.695
_cell_length_c 4.948
_cell_angle_alpha 90.00
_cell_angle_beta 91.97
_cell_angle_gamma 90.00
loop_
_space_group_symop_operation_xyz
'x,y,z'
loop_
_atom_site_label
_atom_site_type_symbol
_atom_site_fract_x
_atom_site_fract_y
_atom_site_fract_z
Li1 Li 0.000 0.000 0.000
Ag1 Ag 0.264 0.500 0.754
Ag2 Ag 0.736 0.500 0.246
As1 As 0.500 0.000 0.500
# - size of the total moment (μB per formula unit) = 0.00
# - total energy (eV/atom) = -21.481
# - N(E_F) (states/eV per cell) = 0.832
# - ΔE_f (eV/atom) = -0.15